No. 1
DFT (PBE) results for a geometry-optimized Pm12Dy5Er2 structure.

```
Pm12Dy5Er2
1.0
-1.076 -6.218 9.852
5.843 -3.221 -8.342
4.044 3.779 2.827
Pm Er Dy
12 2 5
direct
0.353 0.207 0.617
0.444 0.889 0.726
0.881 0.761 0.998
0.647 0.793 0.383
0.119 0.239 0.002
0.453 0.393 0.199
0.547 0.607 0.801
0.854 0.207 0.617
0.556 0.111 0.274
0.940 0.393 0.199
0.060 0.607 0.801
0.146 0.793 0.383
0.769 0.000 0.000
0.231 0.000 0.000
0.677 0.355 0.860
0.000 0.000 0.500
0.323 0.645 0.140
0.216 0.432 0.554
0.784 0.568 0.446
```

Properties
- Density of states at the Fermi level: 1.44 states/eV/atom
- Symmetry: No. 12
- Formation enthalpy at 0 K: 100 meV per atom
- Calculated total energy: -87.2 eV/cell


No. 2
DFT (PBE) results for a geometry-optimized PmDy4Er5 structure.

```
PmDy4Er5
1.0
-1.004 -0.123 3.392
-4.509 -3.591 -3.476
10.253 -9.956 -0.261
Dy Er Pm
4 5 1
direct
0.842 0.727 0.804
0.408 0.810 0.217
0.592 0.190 0.783
0.158 0.273 0.196
0.050 0.426 0.613
0.240 0.119 0.417
0.760 0.881 0.583
0.500 0.500 0.000
0.950 0.574 0.387
0.500 0.000 0.000
```

Properties
- Density of states at the Fermi level: 1.62 states/eV/atom
- Symmetry: No. 2
- Formation enthalpy at 0 K: 61 meV per atom
- Calculated total energy: -45.4 eV/cell


No. 3
DFT (PBE) results for a geometry-optimized Pm6Dy12Er structure.

```
Pm6Dy12Er
1.0
-3.617 7.461 -2.535
-5.782 1.164 6.355
4.311 5.603 5.020
Dy Pm Er
12 6 1
direct
0.136 0.136 0.487
0.804 0.486 0.486
0.864 0.513 0.864
0.486 0.804 0.486
0.513 0.864 0.864
0.486 0.486 0.804
0.196 0.514 0.514
0.514 0.514 0.196
0.136 0.487 0.136
0.514 0.196 0.514
0.864 0.864 0.513
0.487 0.136 0.136
0.838 0.232 0.232
0.232 0.838 0.232
0.162 0.768 0.768
0.232 0.232 0.838
0.768 0.162 0.768
0.768 0.768 0.162
0.000 0.000 0.000
```

Properties
- Density of states at the Fermi level: 1.55 states/eV/atom
- Symmetry: No. 166
- Formation enthalpy at 0 K: 124 meV per atom
- Calculated total energy: -85.9 eV/cell


No. 4
DFT (PBE) results for a geometry-optimized Pm3Dy8Er4 structure.

```
Pm3Dy8Er4
1.0
6.726 -0.143 -0.206
-3.145 8.607 1.198
-3.145 -1.864 8.487
Er Dy Pm
4 8 3
direct
0.000 0.000 0.500
0.000 0.500 0.000
0.500 0.000 0.000
0.000 0.000 0.000
0.547 0.271 0.271
0.013 0.259 0.259
0.500 0.252 0.748
0.987 0.741 0.741
0.500 0.748 0.252
0.000 0.358 0.642
0.453 0.729 0.729
0.000 0.642 0.358
0.500 0.000 0.500
0.500 0.500 0.500
0.500 0.500 0.000
```

Properties
- Density of states at the Fermi level: 1.90 states/eV/atom
- Symmetry: No. 12
- Formation enthalpy at 0 K: 398 meV per atom
- Calculated total energy: -63.4 eV/cell